[1]
Cs2AuI, relaxed, DFT PBE; crystal system = orthorhombic; raw formation energy = -0.54 eV per atom; distance to the lowest polymorph of the same formula = 150 kJ/mol of formula units; symmetry = Immm (71)
1.0
10.471 -0.886 1.552
-1.076 10.453 -1.552
-3.378 -6.080 8.029
Cs Au I
2 1 1
Cartesian
1.837 -1.804 2.481 Cs
5.257 -5.162 7.100 Cs
3.547 -3.483 4.791 Au
0.000 0.000 0.000 I

[2]
Pr2DyCd, relaxed, DFT PBE; crystal system = trigonal; distance to the lowest polymorph of the same formula = 39 kJ/mol of formula units; formation energy from the elements = -0.046 eV per atom; symmetry = R3m (160)
1.0
3.672 0.000 0.000
1.836 3.180 0.000
1.836 1.060 11.118
Pr Dy Cd
2 1 1
Cartesian
1.836 1.060 8.479 Pr
1.836 1.060 2.636 Pr
3.672 2.120 5.566 Dy
5.508 3.180 11.115 Cd

[3]
Dy3Er6PuSc2, relaxed, DFT PBE; crystal system = monoclinic; formation energy from the elements = 0.058 eV per atom; symmetry = C2/m (12)
1.0
5.997 0.000 -0.001
-2.997 5.195 -0.001
-0.999 -1.730 11.275
Dy Er Pu Sc
3 6 1 2
Cartesian
-1.990 3.459 5.636 Dy
3.990 0.005 5.636 Dy
1.000 1.732 5.636 Dy
2.994 1.740 8.534 Er
2.005 3.472 2.738 Er
-0.994 1.724 2.739 Er
0.011 3.463 8.534 Er
-0.005 -0.008 8.534 Er
1.990 0.001 2.739 Er
0.000 0.000 0.000 Pu
0.003 3.462 -0.001 Sc
2.997 1.733 -0.001 Sc

[4]
SrRu2S, relaxed, DFT PBE; crystal system = tetragonal; raw formation energy = -0.07 eV per atom; symmetry = I-42d (122)
1.0
4.784 0.000 0.000
0.000 4.784 0.000
2.392 2.392 8.064
Ru S Sr
4 2 2
Cartesian
2.501 1.196 2.016 Ru
2.282 3.588 2.016 Ru
3.588 4.674 6.048 Ru
5.979 4.893 6.048 Ru
2.392 2.392 0.000 S
2.392 4.784 4.032 S
0.000 0.000 0.000 Sr
4.784 2.392 4.032 Sr

[5]
LaTeSe2N, relaxed, DFT PBE; crystal system = tetragonal; raw formation energy = 0.27 eV per atom; distance to the lowest polymorph of the same formula = 211 kJ/mol of formula units; symmetry = P4/mmm (123)
1.0
5.895 0.000 0.000
0.000 5.895 0.000
0.000 0.000 4.197
N Te Se La
1 1 2 1
Cartesian
0.000 0.000 2.098 N
2.947 2.947 2.098 Te
0.000 2.947 0.000 Se
2.947 0.000 0.000 Se
0.000 0.000 0.000 La

[6]
PrCd2Bi4, relaxed, DFT PBE; crystal system = orthorhombic; formation energy from the elements = -0.228 eV per atom; symmetry = Cmmm (65)
1.0
4.691 0.000 0.000
0.000 6.663 -1.464
0.000 0.696 6.786
Pr Bi Cd
1 4 2
Cartesian
2.345 3.680 2.661 Pr
0.000 5.730 4.144 Bi
0.000 1.629 1.178 Bi
2.345 0.348 3.393 Bi
2.345 3.332 -0.732 Bi
0.000 5.205 0.553 Cd
0.000 2.154 4.770 Cd

Size of the total moment list, top to bottom, in μB/f.u.: 0.00 0.00 6.64 0.00 0.00 0.00
Raw total energy list, top to bottom, in eV/cell: -8.7 -15.3 -67.5 -49.3 -22.0 -23.7